# 1
First-principles (PBE-GGA) data for crystalline TmInTc4 at its relaxed geometry, as listed in Alexandria.

Volume, Å³/cell: 421.67

a = 7.499 Å, b = 7.499 Å, c = 7.499 Å
α = 90.00°, β = 90.00°, γ = 90.00°
Space group F-43m (No. 216)
One atom of each set of equivalent atoms:
1 Tm 0.000 0.000 0.000 (multiplicity 4)
2 In 0.250 0.250 0.750 (multiplicity 4)
3 Tc 0.124 0.124 0.376 (multiplicity 16)

---

# 2
First-principles (PBE-GGA) data for crystalline V4Bi3 at its relaxed geometry, as listed in Alexandria.

Volume, Å³/cell: 1197.16
Energy relative to the lowest polymorph listed for this composition, eV per atom: 0.014

a = 4.245 Å, b = 13.868 Å, c = 20.336 Å
α = 90.00°, β = 90.00°, γ = 90.00°
Space group Cmcm (No. 63)
One atom of each set of equivalent atoms:
1 V 0.000 0.000 0.000 (multiplicity 4)
2 V 0.000 0.102 0.250 (multiplicity 4)
3 V 0.000 0.295 0.171 (multiplicity 8)
4 V 0.000 0.398 0.515 (multiplicity 8)
5 V 0.000 0.463 0.095 (multiplicity 8)
6 Bi 0.000 0.104 0.116 (multiplicity 8)
7 Bi 0.000 0.182 0.573 (multiplicity 8)
8 Bi 0.000 0.265 0.750 (multiplicity 4)
9 Bi 0.000 0.465 0.250 (multiplicity 4)

---

# 3
First-principles (PBE-GGA) data for crystalline Sc2Rh9W at its relaxed geometry, as listed in Alexandria.

Volume, Å³/cell: 179.41

a = 3.902 Å, b = 3.902 Å, c = 11.784 Å
α = 90.00°, β = 90.00°, γ = 90.00°
Space group P4/mmm (No. 123)
One atom of each set of equivalent atoms:
1 Sc 0.000 0.000 0.167 (multiplicity 2)
2 Rh 0.000 0.500 0.000 (multiplicity 2)
3 Rh 0.000 0.500 0.342 (multiplicity 4)
4 Rh 0.500 0.500 0.169 (multiplicity 2)
5 Rh 0.500 0.500 0.500 (multiplicity 1)
6 W 0.000 0.000 0.500 (multiplicity 1)

---

# 4
First-principles (PBE-GGA) data for crystalline Ac8Pr3Dy2 at its relaxed geometry, as listed in Alexandria.

Volume, Å³/cell: 1125.23

a = 15.777 Å, b = 9.923 Å, c = 7.288 Å
α = 90.00°, β = 99.56°, γ = 90.00°
Space group C2/m (No. 12)
One atom of each set of equivalent atoms:
1 Ac 0.088 0.000 0.371 (multiplicity 4)
2 Ac 0.120 0.185 0.928 (multiplicity 8)
3 Ac 0.199 0.500 0.316 (multiplicity 4)
4 Pr 0.000 0.338 0.500 (multiplicity 4)
5 Pr 0.000 0.500 0.000 (multiplicity 2)
6 Dy 0.193 0.500 0.798 (multiplicity 4)

---

no.,total DFT energy (no corrections) (eV per atom),size of the total moment (Bohr magnetons per cell),energy of formation (eV/atom)
1,-8.126,0.00,-0.0132
2,-6.601,28.37,0.2733
3,-8.157,0.00,-0.5085
4,-4.112,0.00,0.2276